Hf2ZrGe2 after structural relaxation. Source: Alexandria via LeMat-Bulk, functional PBE.

a = 8.0686 Å, b = 8.0686 Å, c = 3.0518 Å
α = 90.00°, β = 90.00°, γ = 90.00°
Last column: nearest neighbours and their distance in Å.
Element x y z (fractional)
Hf 0.1294 0.3706 0.0000  6 Ge 2.76-2.87, 3 Hf 2.95-3.05
Hf 0.3706 0.8706 0.0000  6 Ge 2.76-2.87, 3 Hf 2.95-3.05
Hf 0.6294 0.1294 0.0000  6 Ge 2.76-2.87, 3 Hf 2.95-3.05
Hf 0.8706 0.6294 0.0000  6 Ge 2.76-2.87, 3 Hf 2.95-3.05
Zr 0.0000 0.0000 0.0000  2 Zr 3.05, 4 Hf 3.17, 8 Ge 3.36
Zr 0.5000 0.5000 0.0000  2 Zr 3.05, 4 Hf 3.17, 8 Ge 3.36
Ge 0.1693 0.6693 0.5000  6 Hf 2.76-2.87, 2 Ge 3.05
Ge 0.3307 0.1693 0.5000  6 Hf 2.76-2.87, 2 Ge 3.05
Ge 0.6693 0.8307 0.5000  6 Hf 2.76-2.87, 2 Ge 3.05
Ge 0.8307 0.3307 0.5000  6 Hf 2.76-2.87, 2 Ge 3.05

Calculated values
- ΔE_f (meV per atom) = -206

---

HfZrGe2 after structural relaxation. Source: Alexandria via LeMat-Bulk, functional PBE.

a = 8.1124 Å, b = 7.0318 Å, c = 5.6874 Å
α = 90.00°, β = 90.00°, γ = 90.00°
Last column: nearest neighbours and their distance in Å.
Element x y z (fractional)
Hf 0.1249 0.0816 0.2500  6 Ge 2.73
Hf 0.1249 0.4184 0.7500  6 Ge 2.73
Hf 0.8751 0.5816 0.2500  6 Ge 2.73
Hf 0.8751 0.9184 0.7500  6 Ge 2.73
Zr 0.3753 0.5850 0.2500  6 Ge 2.75
Zr 0.3753 0.9150 0.7500  6 Ge 2.75
Zr 0.6247 0.0850 0.2500  6 Ge 2.75
Zr 0.6247 0.4150 0.7500  6 Ge 2.75
Ge 0.1225 0.7500 0.0000  4 Hf 2.73, 2 Zr 2.75, 2 Ge 2.84
Ge 0.1225 0.7500 0.5000  4 Hf 2.73, 2 Zr 2.75, 2 Ge 2.84
Ge 0.3721 0.2500 0.0000  2 Hf 2.73, 4 Zr 2.75, 2 Ge 2.84
Ge 0.3721 0.2500 0.5000  2 Hf 2.73, 4 Zr 2.75, 2 Ge 2.84
Ge 0.6279 0.7500 0.0000  2 Hf 2.73, 4 Zr 2.75, 2 Ge 2.84
Ge 0.6279 0.7500 0.5000  2 Hf 2.73, 4 Zr 2.75, 2 Ge 2.84
Ge 0.8775 0.2500 0.0000  4 Hf 2.73, 2 Zr 2.75, 2 Ge 2.84
Ge 0.8775 0.2500 0.5000  4 Hf 2.73, 2 Zr 2.75, 2 Ge 2.84

Calculated values
- ΔE_f (meV per atom) = -667

---

Hg6Ge after structural relaxation. Source: Alexandria via LeMat-Bulk, functional PBE.

a = 7.1583 Å, b = 7.1583 Å, c = 7.1583 Å
α = 109.47°, β = 109.47°, γ = 109.47°
Last column: nearest neighbours and their distance in Å.
Element x y z (fractional)
Hg 0.2500 0.5000 0.7500  4 Hg 2.92
Hg 0.2500 0.7500 0.5000  4 Hg 2.92
Hg 0.5000 0.2500 0.7500  4 Hg 2.92
Hg 0.5000 0.7500 0.2500  4 Hg 2.92
Hg 0.7500 0.2500 0.5000  4 Hg 2.92
Hg 0.7500 0.5000 0.2500  4 Hg 2.92
Ge 0.0000 0.0000 0.0000  24 Hg 4.62

Calculated values
- ΔE_f (meV per atom) = 546

---

Hg4Ge after structural relaxation. Source: Alexandria via LeMat-Bulk, functional PBE.

a = 5.4163 Å, b = 5.4163 Å, c = 5.4163 Å
α = 90.00°, β = 90.00°, γ = 90.00°
Last column: nearest neighbours and their distance in Å.
Element x y z (fractional)
Hg 0.0000 0.0000 0.0000  12 Hg 3.83
Hg 0.0000 0.5000 0.5000  2 Ge 2.71
Hg 0.5000 0.0000 0.5000  2 Ge 2.71
Hg 0.5000 0.5000 0.0000  2 Ge 2.71
Ge 0.5000 0.5000 0.5000  6 Hg 2.71

Calculated values
- ΔE_f (meV per atom) = 167

---

HgGe6 after structural relaxation. Source: Alexandria via LeMat-Bulk, functional PBE.

a = 6.1475 Å, b = 6.1475 Å, c = 6.1475 Å
α = 109.47°, β = 109.47°, γ = 109.47°
Last column: nearest neighbours and their distance in Å.
Element x y z (fractional)
Hg 0.0000 0.0000 0.0000  24 Ge 3.97
Ge 0.2500 0.5000 0.7500  4 Ge 2.51
Ge 0.2500 0.7500 0.5000  4 Ge 2.51
Ge 0.5000 0.2500 0.7500  4 Ge 2.51
Ge 0.5000 0.7500 0.2500  4 Ge 2.51
Ge 0.7500 0.2500 0.5000  4 Ge 2.51
Ge 0.7500 0.5000 0.2500  4 Ge 2.51

Calculated values
- ΔE_f (meV per atom) = 137

---

Ho8Hg2Ge after structural relaxation. Source: Alexandria via LeMat-Bulk, functional PBE.

a = 9.3891 Å, b = 9.3891 Å, c = 6.8045 Å
α = 101.85°, β = 101.85°, γ = 31.54°
Last column: nearest neighbours and their distance in Å.
Element x y z (fractional)
Ho 0.0239 0.0239 0.2653  1 Hg 3.04, 2 Ge 3.09, 2 Ho 3.39
Ho 0.2038 0.2038 0.8154  3 Hg 2.95-3.26
Ho 0.3420 0.3420 0.5318  1 Ge 2.91, 3 Hg 3.04-3.11
Ho 0.4109 0.4109 0.0554  1 Ge 3.11, 3 Ho 3.39-3.46
Ho 0.5891 0.5891 0.9446  1 Ge 3.11, 3 Ho 3.39-3.46
Ho 0.6580 0.6580 0.4682  1 Ge 2.91, 3 Hg 3.04-3.11
Ho 0.7962 0.7962 0.1846  3 Hg 2.95-3.26
Ho 0.9761 0.9761 0.7347  1 Hg 3.04, 2 Ge 3.09, 2 Ho 3.39
Hg 0.1896 0.1896 0.2388  7 Ho 2.95-3.26
Hg 0.8104 0.8104 0.7612  7 Ho 2.95-3.26
Ge 0.5000 0.5000 0.5000  8 Ho 2.91-3.11

Calculated values
- ΔE_f (meV per atom) = -297

---

Ho2HgGe after structural relaxation. Source: Alexandria via LeMat-Bulk, functional PBE.

a = 7.3135 Å, b = 7.3135 Å, c = 7.3135 Å
α = 33.90°, β = 33.90°, γ = 33.90°
Last column: nearest neighbours and their distance in Å.
Element x y z (fractional)
Ho 0.2370 0.2370 0.2370  3 Ge 2.86, 3 Hg 3.17
Ho 0.7630 0.7630 0.7630  3 Ge 2.86, 3 Hg 3.17
Hg 0.0000 0.0000 0.0000  6 Ho 3.17
Ge 0.5000 0.5000 0.5000  6 Ho 2.86

Calculated values
- ΔE_f (meV per atom) = -545

---

Ho4Hg5Ge2 after structural relaxation. Source: Alexandria via LeMat-Bulk, functional PBE.

a = 7.7071 Å, b = 3.8082 Å, c = 9.1695 Å
α = 90.00°, β = 95.83°, γ = 90.00°
Last column: nearest neighbours and their distance in Å.
Element x y z (fractional)
Ho 0.1902 0.0000 0.3572  2 Ge 2.91, 4 Hg 3.20-3.23
Ho 0.2366 0.0000 0.9258  4 Ge 3.02-3.05, 6 Hg 3.19-3.30
Ho 0.7634 0.0000 0.0742  4 Ge 3.02-3.05, 6 Hg 3.19-3.30
Ho 0.8098 0.0000 0.6428  2 Ge 2.91, 4 Hg 3.20-3.23
Hg 0.1537 0.5000 0.6328  1 Ge 2.94, 2 Hg 3.04-3.22, 4 Ho 3.20-3.27
Hg 0.4627 0.5000 0.1710  1 Ge 2.99, 3 Hg 3.00-3.30, 4 Ho 3.19-3.30
Hg 0.5000 0.5000 0.5000  4 Hg 3.00-3.04, 4 Ho 3.23
Hg 0.5373 0.5000 0.8290  1 Ge 2.99, 3 Hg 3.00-3.30, 4 Ho 3.19-3.30
Hg 0.8463 0.5000 0.3672  1 Ge 2.94, 2 Hg 3.04-3.22, 4 Ho 3.20-3.27
Ge 0.0731 0.5000 0.1276  1 Ge 2.49
Ge 0.9269 0.5000 0.8724  1 Ge 2.49

Calculated values
- ΔE_f (meV per atom) = -472

---

Ho7HgGe5 after structural relaxation. Source: Alexandria via LeMat-Bulk, functional PBE.

a = 7.8848 Å, b = 7.8848 Å, c = 7.8848 Å
α = 135.56°, β = 93.83°, γ = 102.66°
Last column: nearest neighbours and their distance in Å.
Element x y z (fractional)
Ho 0.0000 0.0000 0.0000  1 Hg 3.12, 4 Ge 3.23, 2 Ho 3.27
Ho 0.3226 0.6544 0.6683  5 Ge 2.88-3.06
Ho 0.3718 0.3718 0.0000  6 Ge 2.98-3.13, 1 Hg 3.07
Ho 0.4417 0.1104 0.3313  5 Ge 2.90-3.14, 1 Ho 3.09
Ho 0.7792 0.1104 0.6687  5 Ge 2.90-3.14, 1 Ho 3.09
Ho 0.8644 0.3644 0.5000  4 Ge 2.92, 2 Ho 3.09
Ho 0.9861 0.6544 0.3317  5 Ge 2.88-3.06
Hg 0.6829 0.6829 0.0000  2 Ho 3.07-3.12
Ge 0.1259 0.1589 0.5097  1 Ge 2.73, 3 Ho 2.91-2.98
Ge 0.1259 0.6162 0.9670  1 Ge 2.73, 3 Ho 2.91-2.98
Ge 0.3810 0.8810 0.5000  6 Ho 2.88-2.98
Ge 0.6492 0.1589 0.0330  1 Ge 2.73, 3 Ho 2.91-2.98
Ge 0.6492 0.6162 0.4903  1 Ge 2.73, 3 Ho 2.91-2.98

Calculated values
- ΔE_f (meV per atom) = -508

---

HoHgGe2 after structural relaxation. Source: Alexandria via LeMat-Bulk, functional PBE.

a = 4.5029 Å, b = 4.5029 Å, c = 4.1545 Å
α = 90.00°, β = 90.00°, γ = 90.00°
Last column: nearest neighbours and their distance in Å.
Element x y z (fractional)
Ho 0.0000 0.0000 0.0000  8 Ge 3.06, 4 Hg 3.18
Hg 0.5000 0.5000 0.0000  8 Ge 3.06, 4 Ho 3.18
Ge 0.0000 0.5000 0.5000  4 Ho 3.06, 4 Hg 3.06, 4 Ge 3.18
Ge 0.5000 0.0000 0.5000  4 Ho 3.06, 4 Hg 3.06, 4 Ge 3.18

Calculated values
- ΔE_f (meV per atom) = -369

---

Ho5Hg2Ge2 after structural relaxation. Source: Alexandria via LeMat-Bulk, functional PBE.

a = 8.7297 Å, b = 8.7297 Å, c = 7.6357 Å
α = 90.00°, β = 90.00°, γ = 51.78°
Last column: nearest neighbours and their distance in Å.
Element x y z (fractional)
Ho 0.0000 0.0000 0.0000  4 Ge 2.97-3.00
Ho 0.0480 0.6943 0.6706  3 Ge 2.92-3.10, 3 Hg 3.09-3.15
Ho 0.1943 0.5480 0.1706  3 Ge 2.92-3.10, 3 Hg 3.09-3.15
Ho 0.3057 0.9520 0.6706  3 Ge 2.92-3.10, 3 Hg 3.09-3.15
Ho 0.4520 0.8057 0.1706  3 Ge 2.92-3.10, 3 Hg 3.09-3.15
Ho 0.5000 0.5000 0.5000  4 Ge 2.97-3.00
Ho 0.5480 0.1943 0.8294  3 Ge 2.92-3.10, 3 Hg 3.09-3.15
Ho 0.6943 0.0480 0.3294  3 Ge 2.92-3.10, 3 Hg 3.09-3.15
Ho 0.8057 0.4520 0.8294  3 Ge 2.92-3.10, 3 Hg 3.09-3.15
Ho 0.9520 0.3057 0.3294  3 Ge 2.92-3.10, 3 Hg 3.09-3.15
Hg 0.2137 0.2137 0.0000  7 Ho 3.09-3.36
Hg 0.2863 0.2863 0.5000  7 Ho 3.09-3.36
Hg 0.7137 0.7137 0.5000  7 Ho 3.09-3.36
Hg 0.7863 0.7863 0.0000  7 Ho 3.09-3.36
Ge 0.1294 0.8706 0.3672  1 Ge 2.83, 8 Ho 2.92-3.10
Ge 0.3706 0.6294 0.8672  1 Ge 2.83, 8 Ho 2.92-3.10
Ge 0.6294 0.3706 0.1328  1 Ge 2.83, 8 Ho 2.92-3.10
Ge 0.8706 0.1294 0.6328  1 Ge 2.83, 8 Ho 2.92-3.10

Calculated values
- ΔE_f (meV per atom) = -642

---

HoHgGe4 after structural relaxation. Source: Alexandria via LeMat-Bulk, functional PBE.

a = 5.6166 Å, b = 5.6166 Å, c = 5.6166 Å
α = 60.00°, β = 60.00°, γ = 60.00°
Last column: nearest neighbours and their distance in Å.
Element x y z (fractional)
Ho 0.0000 0.0000 0.0000  12 Ge 3.29, 4 Hg 3.44
Hg 0.7500 0.7500 0.7500  12 Ge 3.29, 4 Ho 3.44
Ge 0.3743 0.3743 0.3743  6 Ge 2.79-2.82
Ge 0.3743 0.3743 0.8770  6 Ge 2.79-2.82
Ge 0.3743 0.8770 0.3743  6 Ge 2.79-2.82
Ge 0.8770 0.3743 0.3743  6 Ge 2.79-2.82

Calculated values
- ΔE_f (meV per atom) = -137

---

Ho2HgGe after structural relaxation. Source: Alexandria via LeMat-Bulk, functional PBE.

a = 5.0580 Å, b = 5.0580 Å, c = 3.7402 Å
α = 90.00°, β = 90.00°, γ = 90.00°
Last column: nearest neighbours and their distance in Å.
Element x y z (fractional)
Ho 0.0000 0.5000 0.0000  4 Ge 3.15, 4 Hg 3.15
Ho 0.5000 0.0000 0.0000  4 Ge 3.15, 4 Hg 3.15
Hg 0.0000 0.0000 0.5000  8 Ho 3.15
Ge 0.5000 0.5000 0.5000  8 Ho 3.15

Calculated values
- ΔE_f (meV per atom) = -566

---

Across the entries above, magnetization takes the values 0.0, 0.0, 2.0, 0.0, 0.0, 0.0, 0.0, 0.0, 0.0, 0.0, 0.0, 0.0, 0.0 μB per formula unit, respectively.
Across the entries above, VASP energy takes the values -38.7, -30.4, -2.6, -5.0, -27.0, -45.1, -16.3, -34.2, -62.0, -15.6, -38.5, -24.2, -16.3 eV/f.u., respectively.
Across the entries above, theoretical density takes the values 9921, 8496, 7505, 9144, 5909, 9714, 9232, 11213, 9016, 10069, 9960, 8696, 10466 kg/m³, respectively.